Material: Rb2FeSbBr6
Method: DFT, PBE-GGA
State: optimized geometry

The space group is I4/mmm (No. 139) and the conventional cell measures 7.809, 7.809 and 11.117 Å, with angles of 90.00, 90.00 and 90.00 degrees. The asymmetric unit holds Rb at (0.000, 0.500, 0.250), Fe at (0.000, 0.000, 0.000), Sb at (0.000, 0.000, 0.500), Br at (0.000, 0.000, 0.236) and Br at (0.240, 0.240, 0.000).

The calculated volume comes out at 678 Å³/cell. The value obtained for the formation energy from raw total energies is -0.89 eV per atom. For the total magnetization, the calculation gives 6.15 μB/cell. As for the electronic total energy: -3.35 eV per atom.